! PBE-GGA YHf2V, relaxed; values from VASP
&SYSTEM
  ibrav = 0, nat = 8, ntyp = 3
/
ATOMIC_SPECIES
V 50.94 V.upf
Hf 178.49 Hf.upf
Y 88.91 Y.upf
ATOMIC_POSITIONS crystal
V 0.500 0.500 0.000
V 0.250 0.750 0.500
Hf 0.138 0.125 0.250
Hf 0.612 0.625 0.250
Hf 0.375 0.862 0.750
Hf 0.875 0.388 0.750
Y 0.750 0.250 0.500
Y 0.000 0.000 0.000
CELL_PARAMETERS angstrom
-2.252 -2.555 2.557
1.445 -3.398 -2.123
7.658 -3.596 6.697
! * SG: I-42d
! * mass density: 8.781 g cm⁻³
! * energy above the lowest structure with this stoichiometry: 521 meV/atom
! * E_form: 713 meV per atom